VASP calculation (PBE) on crystalline Li3In4 at its relaxed geometry.

a b c (Å): 5.7405 5.7405 5.4092
angles (deg): 90.00 90.00 120.00
Atoms (fractional coordinates):
In 0.6667 0.3333 0.5000
In 0.3333 0.6667 0.5000
In 0.0000 0.0000 0.7493
Li 0.5000 0.5000 0.0000
Li 0.0000 0.5000 0.0000
Li 0.5000 0.0000 0.0000
In 0.0000 0.0000 0.2507

Output
The energy of formation comes out at -132 meV/atom. Its total magnetization is 0.00 μB/f.u. Its total energy is -17.62 eV/cell. As for the space group: P6/mmm (191).



VASP calculation (PBE) on crystalline Li4In5 at its relaxed geometry.

a b c (Å): 5.0815 4.8854 11.2875
angles (deg): 55.02 76.99 58.66
Atoms (fractional coordinates):
Li 0.0082 0.6557 0.3280
In 0.0000 0.0000 0.0000
In 0.6698 0.5283 0.1321
In 0.3402 0.7706 0.5491
Li 0.9918 0.3443 0.6720
In 0.3302 0.4717 0.8679
Li 0.6641 0.8829 0.7890
In 0.6598 0.2294 0.4509
Li 0.3359 0.1171 0.2110

Output
The energy of formation comes out at -203 meV/atom. Its total magnetization is 0.00 μB/f.u. Its total energy is -23.17 eV/cell. As for the space group: C2/m (12).



VASP calculation (PBE) on crystalline Li5In at its relaxed geometry.

a b c (Å): 5.2897 5.2897 4.8167
angles (deg): 90.00 90.00 120.00
Atoms (fractional coordinates):
Li 0.0000 0.5000 0.5000
Li 0.5000 0.5000 0.5000
Li 0.6667 0.3333 0.0000
Li 0.5000 0.0000 0.5000
Li 0.3333 0.6667 0.0000
In 0.0000 0.0000 0.0000

Output
The energy of formation comes out at 1 meV/atom. Its total magnetization is 0.00 μB/f.u. Its total energy is -12.30 eV/cell. As for the space group: P6/mmm (191).



> Number 2 is which compound?

Li4In5



> Look up the total energy of the second one.

-23.17 eV/cell



> Number 3 is which compound?

Li5In